No. 1
This record from the Alexandria database describes TbHo2Pb after structural relaxation. The functional is GGA-PBE.

The structure belongs to space group R-3m (No. 166, hexagonal axes); the cell edges are 3.5233, 3.5233 and 35.9528 Å and the angles 90.00°, 90.00° and 120.00°. The asymmetric unit holds Tb at (0.0000, 0.0000, 0.0000), Ho at (0.0000, 0.0000, 0.4120) and Pb at (0.0000, 0.0000, 0.5000).

As for the density: 8970 kg/m³. The polymorph energy (0 for the lowest one) comes out at 0.322 eV/atom. Its density of states at the Fermi level is 12.00 states/eV/cell.

No. 2
This record from the Alexandria database describes CdTe2As after structural relaxation. The functional is GGA-PBE.

The structure belongs to space group P4/mmm (No. 123); the cell edges are 3.645, 3.645 and 7.600 Å and the angles 90.00°, 90.00° and 90.00°. The asymmetric unit holds Cd at (0.000, 0.000, 0.000), Te at (0.500, 0.500, 0.264) and As at (0.000, 0.000, 0.500).

The uncorrected formation energy is 0.26 eV per atom. As for the density: 7278 kg/m³. The polymorph energy (0 for the lowest one) comes out at 0.337 eV/atom. Its density of states at the Fermi level is 2.61 states/eV/cell.

No. 3
This record from the Alexandria database describes CsGaGe after structural relaxation. The functional is GGA-PBE.

The structure belongs to space group P-6m2 (No. 187); the cell edges are 4.3480, 4.3480 and 6.1920 Å and the angles 90.00°, 90.00° and 120.00°. The asymmetric unit holds Cs at (0.0000, 0.0000, 0.0000), Ga at (0.3333, 0.6667, 0.5000) and Ge at (0.6667, 0.3333, 0.5000).

As for the density: 4509 kg/m³. The calculation puts the total energy at -9.04 eV per cell. Its density of states at the Fermi level is 0.50 states/eV/cell.